Material: Ac2PrTl3
Method: DFT, PBE
State: relaxed

```
Ac2PrTl3
1.0
1.984 -15.076 0.000
1.984 15.076 0.000
0.000 0.000 7.286
Ac Pr Tl
4 2 6
Direct
0.011 0.989 0.750
0.158 0.842 0.250
0.842 0.158 0.750
0.989 0.011 0.250
0.338 0.662 0.250
0.662 0.338 0.750
0.248 0.752 0.750
0.423 0.577 0.531
0.423 0.577 0.969
0.577 0.423 0.031
0.577 0.423 0.469
0.752 0.248 0.250
```

Computed properties:
Formation energy from the elements in eV per atom: -0.215
Space-group type: Cmcm, No. 63
DOS at the Fermi energy in states/eV per cell: 10.64
ΔE to the lowest computed polymorph in kJ/mol of formula units: 85

=====

Material: Ac6PrTl2
Method: DFT, PBE
State: relaxed

```
Ac6PrTl2
1.0
8.472 -6.299 0.000
8.472 6.299 0.000
-0.673 0.000 6.639
Ac Pr Tl
12 2 4
Direct
0.063 0.821 0.990
0.143 0.401 0.172
0.179 0.937 0.510
0.243 0.525 0.687
0.401 0.143 0.672
0.475 0.757 0.813
0.525 0.243 0.187
0.599 0.857 0.328
0.757 0.475 0.313
0.821 0.063 0.490
0.857 0.599 0.828
0.937 0.179 0.010
0.391 0.609 0.250
0.609 0.391 0.750
0.035 0.285 0.589
0.285 0.035 0.089
0.715 0.965 0.911
0.965 0.715 0.411
```

Computed properties:
Formation energy from the elements in eV per atom: -0.083
Space-group type: C2/c, No. 15
DOS at the Fermi energy in states/eV per cell: 25.07
ΔE to the lowest computed polymorph in kJ/mol of formula units: 50

=====

Material: Ac5Pr2Tl5
Method: DFT, PBE
State: relaxed

```
Ac5Pr2Tl5
1.0
6.535 -2.621 0.000
6.535 2.621 0.000
-6.505 0.000 13.007
Ac Pr Tl
5 2 5
Direct
0.000 0.000 0.000
0.159 0.159 0.517
0.198 0.198 0.799
0.802 0.802 0.201
0.841 0.841 0.483
0.463 0.463 0.712
0.537 0.537 0.288
0.182 0.182 0.281
0.338 0.338 0.055
0.500 0.500 0.500
0.662 0.662 0.945
0.818 0.818 0.719
```

Computed properties:
Formation energy from the elements in eV per atom: -0.218
Space-group type: C2/m, No. 12
DOS at the Fermi energy in states/eV per cell: 11.16

=====

Question: What is the formation energy from the elements in the first record?
Answer: -0.215 eV per atom

=====

Question: Number 1 is which compound?
Answer: Ac2PrTl3

=====

Question: The highest DOS at the Fermi energy belongs to which entry?
Answer: Ac6PrTl2